SmZr2Sc | Alexandria via LeMat-Bulk | GGA-PBE | optimized geometry; E = -27.7 eV for the cell shown; magnetization = 0.00 μB per cell; SG = R3m, No. 160; energy of formation = 113 meV/atom; offset from the most stable computed form = 7 meV/atom; V = 25.4 A^3/atom
1.0
1.652 0.954 10.767
-1.652 0.954 10.767
0.000 -1.907 10.767
Sm Zr Sc
1 2 1
Direct
0.000 0.000 0.000 Sm
0.246 0.246 0.246 Zr
0.420 0.420 0.420 Zr
0.833 0.833 0.833 Sc

MgAlZn2 | Alexandria via LeMat-Bulk | GGA-PBE | optimized geometry; E = -8.0 eV for the cell shown; magnetization = 0.00 μB per cell; SG = I4/mmm, No. 139; energy of formation = -16 meV/atom; V = 16.9 A^3/atom
1.0
-2.066 2.066 3.968
2.066 -2.066 3.968
2.066 2.066 -3.968
Mg Al Zn
1 1 2
Direct
0.000 0.000 0.000 Mg
0.500 0.500 0.000 Al
0.250 0.750 0.500 Zn
0.750 0.250 0.500 Zn

PmMg2AlGa2 | Alexandria via LeMat-Bulk | GGA-PBE | optimized geometry; E = -17.3 eV for the cell shown; magnetization = 0.00 μB per cell; SG = I4/mmm, No. 139; energy of formation = 69 meV/atom; V = 25.1 A^3/atom
1.0
-2.627 2.627 5.459
2.627 -2.627 5.459
2.627 2.627 -5.459
Pm Mg Al Ga
1 2 1 2
Direct
0.000 0.000 0.000 Pm
0.250 0.750 0.500 Mg
0.750 0.250 0.500 Mg
0.500 0.500 0.000 Al
0.279 0.279 0.000 Ga
0.721 0.721 0.000 Ga

KPtO2 | Alexandria via LeMat-Bulk | GGA-PBE | optimized geometry; raw formation energy = -0.51 eV per atom; E = -38.2 eV for the cell shown; magnetization = 0.00 μB per cell; SG = I-42d, No. 122; V = 18.6 A^3/atom
1.0
-2.550 2.550 5.717
2.550 -2.550 5.717
2.550 2.550 -5.717
K Pt O
2 2 4
Direct
0.000 0.000 0.000 K
0.750 0.250 0.500 K
0.250 0.750 0.500 Pt
0.500 0.500 0.000 Pt
0.244 0.625 0.119 O
0.375 0.494 0.619 O
0.506 0.125 0.881 O
0.875 0.756 0.381 O

MnAg2Pt | Alexandria via LeMat-Bulk | GGA-PBE | optimized geometry; E = -21.1 eV for the cell shown; magnetization = 4.38 μB per cell; SG = Pmm2, No. 25; energy of formation = -45 meV/atom; offset from the most stable computed form = 0 meV/atom; V = 16.5 A^3/atom
1.0
2.937 0.000 0.000
0.000 3.857 0.000
0.000 0.000 5.822
Mn Ag Pt
1 2 1
Direct
0.000 0.000 0.000 Mn
0.000 0.000 0.480 Ag
0.500 0.500 0.728 Ag
0.500 0.500 0.209 Pt

Tb7TmTh2 | Alexandria via LeMat-Bulk | GGA-PBE | optimized geometry; E = -44.1 eV for the cell shown; magnetization = 0.00 μB per cell; SG = Cmmm, No. 65; energy of formation = 763 meV/atom; offset from the most stable computed form = 305 meV/atom; V = 39.9 A^3/atom
1.0
4.354 -8.318 0.000
4.354 8.318 0.000
0.000 0.000 5.504
Tb Tm Th
7 1 2
Direct
0.000 0.000 0.000 Tb
0.214 0.434 0.000 Tb
0.291 0.709 0.500 Tb
0.434 0.214 0.000 Tb
0.566 0.786 0.000 Tb
0.709 0.291 0.500 Tb
0.786 0.566 0.000 Tb
0.500 0.500 0.500 Tm
0.205 0.795 0.000 Th
0.795 0.205 0.000 Th

CeHo5Er12 | Alexandria via LeMat-Bulk | GGA-PBE | optimized geometry; E = -81.0 eV for the cell shown; magnetization = 0.99 μB per cell; SG = C2/m, No. 12; energy of formation = 142 meV/atom; V = 31.4 A^3/atom
1.0
5.720 -5.169 0.000
5.720 5.169 0.000
-5.319 0.000 9.556
Ce Ho Er
1 5 12
Direct
0.000 0.000 0.000 Ce
0.167 0.833 0.500 Ho
0.333 0.667 0.000 Ho
0.500 0.500 0.500 Ho
0.667 0.333 0.000 Ho
0.833 0.167 0.500 Ho
0.006 0.675 0.152 Er
0.026 0.359 0.326 Er
0.308 0.308 0.670 Er
0.325 0.994 0.848 Er
0.338 0.338 0.152 Er
0.359 0.026 0.326 Er
0.641 0.974 0.674 Er
0.662 0.662 0.848 Er
0.675 0.006 0.152 Er
0.692 0.692 0.330 Er
0.974 0.641 0.674 Er
0.994 0.325 0.848 Er

ZrMn2Os | Alexandria via LeMat-Bulk | GGA-PBE | optimized geometry; E = -37.6 eV for the cell shown; magnetization = 4.31 μB per cell; SG = P2/m, No. 10; energy of formation = 119 meV/atom; offset from the most stable computed form = 125 meV/atom; V = 15.1 A^3/atom
1.0
2.802 0.000 0.000
0.000 4.006 0.000
-1.090 0.000 5.389
Zr Mn Os
1 2 1
Direct
0.000 0.000 0.000 Zr
0.466 0.500 0.720 Mn
0.534 0.500 0.280 Mn
0.000 0.000 0.500 Os

YSbAs2Se | Alexandria via LeMat-Bulk | GGA-PBE | optimized geometry; raw formation energy = 0.14 eV per atom; E = -22.7 eV for the cell shown; magnetization = 0.00 μB per cell; SG = P4/mmm, No. 123; offset from the most stable computed form = 0 meV/atom; V = 28.3 A^3/atom
1.0
5.178 0.000 0.000
0.000 5.178 0.000
0.000 0.000 5.285
Y Sb As Se
1 1 2 1
Direct
0.000 0.000 0.000 Y
0.500 0.500 0.500 Sb
0.000 0.500 0.500 As
0.500 0.000 0.500 As
0.500 0.500 0.000 Se

Mn2ReNi2 | Alexandria via LeMat-Bulk | GGA-PBE | optimized geometry; E = -82.2 eV for the cell shown; magnetization = 0.00 μB per cell; SG = P4/mbm, No. 127; energy of formation = 254 meV/atom; offset from the most stable computed form = 87 meV/atom; V = 11.8 A^3/atom
1.0
6.743 0.000 0.000
0.000 6.743 0.000
0.000 0.000 2.594
Mn Re Ni
4 2 4
Direct
0.109 0.391 0.000 Mn
0.391 0.891 0.000 Mn
0.609 0.109 0.000 Mn
0.891 0.609 0.000 Mn
0.000 0.000 0.000 Re
0.500 0.500 0.000 Re
0.185 0.685 0.500 Ni
0.315 0.185 0.500 Ni
0.685 0.815 0.500 Ni
0.815 0.315 0.500 Ni

BeO | Alexandria via LeMat-Bulk | GGA-PBE | optimized geometry; raw formation energy = -2.68 eV per atom; E = -84.2 eV for the cell shown; magnetization = 0.00 μB per cell; SG = Pm-3n, No. 223; offset from the most stable computed form = 85 meV/atom; V = 8.5 A^3/atom
1.0
4.675 0.000 0.000
0.000 4.675 0.000
0.000 0.000 4.675
Be O
6 6
Direct
0.000 0.250 0.500 Be
0.000 0.750 0.500 Be
0.250 0.500 0.000 Be
0.500 0.000 0.250 Be
0.500 0.000 0.750 Be
0.750 0.500 0.000 Be
0.000 0.500 0.250 O
0.000 0.500 0.750 O
0.250 0.000 0.500 O
0.500 0.250 0.000 O
0.500 0.750 0.000 O
0.750 0.000 0.500 O

K2BeSi | Alexandria via LeMat-Bulk | GGA-PBE | optimized geometry; raw formation energy = 0.66 eV per atom; E = -8.7 eV for the cell shown; magnetization = 0.00 μB per cell; SG = F-43m, No. 216; offset from the most stable computed form = 492 meV/atom; V = 23.6 A^3/atom
1.0
0.000 3.614 3.614
3.614 0.000 3.614
3.614 3.614 0.000
K Be Si
2 1 1
Direct
0.000 0.000 0.000 K
0.250 0.250 0.250 K
0.750 0.750 0.750 Be
0.500 0.500 0.500 Si

BeGeTe2 | Alexandria via LeMat-Bulk | GGA-PBE | optimized geometry; raw formation energy = 0.27 eV per atom; E = -13.5 eV for the cell shown; magnetization = 0.00 μB per cell; SG = R-3m, No. 166; offset from the most stable computed form = 294 meV/atom; V = 24.4 A^3/atom
1.0
1.749 1.010 9.221
-1.749 1.010 9.221
0.000 -2.020 9.221
Be Ge Te
1 1 2
Direct
0.000 0.000 0.000 Be
0.500 0.500 0.500 Ge
0.391 0.391 0.391 Te
0.609 0.609 0.609 Te

LiH2BrO | Alexandria via LeMat-Bulk | GGA-PBE | optimized geometry; E = -39.6 eV for the cell shown; magnetization = 0.00 μB per cell; SG = Cmcm, No. 63; V = 12.5 A^3/atom
1.0
1.790 -4.949 0.000
1.790 4.949 0.000
0.000 0.000 7.052
Li H Br O
2 4 2 2
Direct
0.066 0.934 0.750 Li
0.934 0.066 0.250 Li
0.409 0.591 0.552 H
0.409 0.591 0.948 H
0.591 0.409 0.052 H
0.591 0.409 0.448 H
0.218 0.782 0.250 Br
0.782 0.218 0.750 Br
0.500 0.500 0.000 O
0.500 0.500 0.500 O

Nd3HoCd | Alexandria via LeMat-Bulk | GGA-PBE | optimized geometry; E = -40.7 eV for the cell shown; magnetization = 0.00 μB per cell; SG = P-1, No. 2; energy of formation = -109 meV/atom; offset from the most stable computed form = 0 meV/atom; V = 31.9 A^3/atom
1.0
3.751 0.000 0.000
1.874 6.570 0.000
0.001 0.813 12.929
Nd Ho Cd
6 2 2
Direct
0.041 0.418 0.190 Nd
0.146 0.208 0.444 Nd
0.365 0.770 0.026 Nd
0.635 0.230 0.974 Nd
0.854 0.792 0.556 Nd
0.959 0.582 0.810 Nd
0.227 0.047 0.751 Ho
0.773 0.953 0.249 Ho
0.437 0.625 0.370 Cd
0.563 0.375 0.630 Cd

BaCa2Ta | Alexandria via LeMat-Bulk | GGA-PBE | optimized geometry; E = -14.3 eV for the cell shown; magnetization = 3.27 μB per cell; SG = Fm-3m, No. 225; energy of formation = 858 meV/atom; offset from the most stable computed form = 203 meV/atom; V = 34.2 A^3/atom
1.0
0.000 4.091 4.091
4.091 0.000 4.091
4.091 4.091 0.000
Ba Ca Ta
1 2 1
Direct
0.000 0.000 0.000 Ba
0.250 0.250 0.250 Ca
0.750 0.750 0.750 Ca
0.500 0.500 0.500 Ta

IrPtRhW | Alexandria via LeMat-Bulk | GGA-PBE | optimized geometry; E = -35.0 eV for the cell shown; magnetization = 0.00 μB per cell; SG = F-43m, No. 216; energy of formation = 53 meV/atom; V = 15.3 A^3/atom
1.0
0.000 3.127 3.127
3.127 0.000 3.127
3.127 3.127 0.000
Ir Pt Rh W
1 1 1 1
Direct
0.000 0.000 0.000 Ir
0.250 0.250 0.250 Pt
0.500 0.500 0.500 Rh
0.750 0.750 0.750 W

Ta2SbAs | Alexandria via LeMat-Bulk | GGA-PBE | optimized geometry; raw formation energy = 0.00 eV per atom; E = -32.5 eV for the cell shown; magnetization = 0.00 μB per cell; SG = Fm-3m, No. 225; V = 18.4 A^3/atom
1.0
0.000 3.324 3.324
3.324 0.000 3.324
3.324 3.324 0.000
Ta Sb As
2 1 1
Direct
0.250 0.250 0.250 Ta
0.750 0.750 0.750 Ta
0.000 0.000 0.000 Sb
0.500 0.500 0.500 As

Cs5Au2Se | Alexandria via LeMat-Bulk | GGA-PBE | optimized geometry; raw formation energy = -0.54 eV per atom; E = -37.3 eV for the cell shown; magnetization = 0.00 μB per cell; SG = I4/mcm, No. 140; V = 46.6 A^3/atom
1.0
-4.631 4.631 8.689
4.631 -4.631 8.689
4.631 4.631 -8.689
Cs Au Se
10 4 2
Direct
0.000 0.000 0.000 Cs
0.035 0.535 0.864 Cs
0.171 0.035 0.500 Cs
0.329 0.829 0.864 Cs
0.465 0.329 0.500 Cs
0.500 0.500 0.000 Cs
0.535 0.671 0.500 Cs
0.671 0.171 0.136 Cs
0.829 0.965 0.500 Cs
0.965 0.465 0.136 Cs
0.111 0.389 0.500 Au
0.389 0.889 0.279 Au
0.611 0.111 0.721 Au
0.889 0.611 0.500 Au
0.250 0.250 0.000 Se
0.750 0.750 0.000 Se

CrAsBr2 | Alexandria via LeMat-Bulk | GGA-PBE | optimized geometry; raw formation energy = 0.31 eV per atom; E = -16.4 eV for the cell shown; magnetization = 0.00 μB per cell; SG = R-3m, No. 166; offset from the most stable computed form = 481 meV/atom; V = 24.8 A^3/atom
1.0
1.616 0.933 10.979
-1.616 0.933 10.979
0.000 -1.866 10.979
Cr As Br
1 1 2
Direct
0.000 0.000 0.000 Cr
0.500 0.500 0.500 As
0.383 0.383 0.383 Br
0.617 0.617 0.617 Br

Cs2CaGe2Au7 | Alexandria via LeMat-Bulk | GGA-PBE | optimized geometry; E = -40.0 eV for the cell shown; magnetization = 0.00 μB per cell; SG = C2/m, No. 12; energy of formation = -340 meV/atom; V = 26.6 A^3/atom
1.0
3.402 -3.413 0.000
3.402 3.413 0.000
-0.083 0.000 13.734
Cs Ca Ge Au
2 1 2 7
Direct
0.031 0.031 0.143 Cs
0.969 0.969 0.857 Cs
0.000 0.000 0.500 Ca
0.438 0.438 0.714 Ge
0.562 0.562 0.286 Ge
0.049 0.499 0.359 Au
0.474 0.474 0.903 Au
0.499 0.049 0.359 Au
0.500 0.500 0.500 Au
0.501 0.951 0.641 Au
0.526 0.526 0.097 Au
0.951 0.501 0.641 Au

Ce2Pr4Sn3O2 | Alexandria via LeMat-Bulk | GGA-PBE | optimized geometry; raw formation energy = -1.41 eV per atom; E = -68.4 eV for the cell shown; magnetization = 1.74 μB per cell; SG = I4/mmm, No. 139; V = 28.1 A^3/atom
1.0
-2.442 2.442 12.976
2.442 -2.442 12.976
2.442 2.442 -12.976
Ce Pr Sn O
2 4 3 2
Direct
0.194 0.194 0.000 Ce
0.806 0.806 0.000 Ce
0.082 0.582 0.500 Pr
0.418 0.918 0.500 Pr
0.582 0.082 0.500 Pr
0.918 0.418 0.500 Pr
0.323 0.323 0.000 Sn
0.500 0.500 0.000 Sn
0.677 0.677 0.000 Sn
0.105 0.105 0.000 O
0.895 0.895 0.000 O

Ac2CeSi3Au12 | Alexandria via LeMat-Bulk | GGA-PBE | optimized geometry; raw formation energy = -0.22 eV per atom; E = -73.8 eV for the cell shown; magnetization = 0.99 μB per cell; SG = R-3m, No. 166; V = 25.1 A^3/atom
1.0
4.447 2.567 6.606
-4.447 2.567 6.606
0.000 -5.134 6.606
Ac Ce Si Au
2 1 3 12
Direct
0.100 0.100 0.100 Ac
0.900 0.900 0.900 Ac
0.500 0.500 0.500 Ce
0.000 0.500 0.500 Si
0.500 0.000 0.500 Si
0.500 0.500 0.000 Si
0.090 0.642 0.642 Au
0.186 0.186 0.641 Au
0.186 0.641 0.186 Au
0.358 0.358 0.910 Au
0.358 0.910 0.358 Au
0.359 0.814 0.814 Au
0.641 0.186 0.186 Au
0.642 0.090 0.642 Au
0.642 0.642 0.090 Au
0.814 0.359 0.814 Au
0.814 0.814 0.359 Au
0.910 0.358 0.358 Au

La6Nd5Y | Alexandria via LeMat-Bulk | GGA-PBE | optimized geometry; E = -59.7 eV for the cell shown; magnetization = 0.00 μB per cell; SG = P-1, No. 2; energy of formation = 14 meV/atom; offset from the most stable computed form = 2 meV/atom; V = 35.9 A^3/atom
1.0
6.391 0.000 0.000
-0.011 7.427 0.000
-0.088 -3.712 9.071
La Nd Y
6 5 1
Direct
0.000 0.249 0.000 La
0.000 0.751 0.000 La
0.334 0.083 0.667 La
0.334 0.584 0.667 La
0.666 0.416 0.333 La
0.666 0.917 0.333 La
0.165 0.666 0.333 Nd
0.167 0.166 0.333 Nd
0.500 0.500 0.000 Nd
0.833 0.834 0.667 Nd
0.835 0.334 0.667 Nd
0.500 0.000 0.000 Y